Na2LiAu2: relaxed, PBE.

```
10
Lattice="8.4383 0.0000 0.0000 0.0000 8.4383 0.0000 0.0000 0.0000 3.0932" Properties=species:S:1:pos:R:3 pbc="T T T"
Na 1.0678 3.1513 0.0000
Na 3.1513 7.3705 0.0000
Na 5.2870 1.0678 0.0000
Na 7.3705 5.2870 0.0000
Li 0.0000 0.0000 0.0000
Li 4.2192 4.2192 0.0000
Au 1.4556 5.6748 1.5466
Au 2.7635 1.4556 1.5466
Au 5.6748 6.9827 1.5466
Au 6.9827 2.7635 1.5466
```

The total magnetic moment comes out at 0.00 μB/atom. The crystal system is tetragonal. For the formation energy, the calculation gives -19 kJ per mole of atoms. The value obtained for the energy above the most stable polymorph in this dataset is 0.194 eV per atom.